Computed, not measured: a relaxed Zr5Hg2H crystal at the PBE level of DFT.

abc: 6.309 6.309 8.467
angles: 90.00 90.00 90.00
Space group I4mm (No. 107)
Unique sites:
Zr (0.000, 0.000, 0.000) (multiplicity 2)
Zr (0.247, 0.247, 0.251) (multiplicity 8)
Hg (0.000, 0.500, 0.001) (multiplicity 4)
H (0.000, 0.000, 0.745) (multiplicity 2)

Results
Uncorrected energy ... -0.215 Ha/atom
DOS(E_F) ... 10.3 states/eV/f.u.